(1)
## Pr7SmDy3 (PBE)

Data for Pr7SmDy3 after structural relaxation.

Unit cell a=10.382 b=10.382 c=12.687 alpha=114.42 beta=114.42 gamma=41.04
Fractional coordinates of all 22 atoms:
Pr 0.079 0.585 0.471
Pr 0.082 0.585 0.974
Pr 0.227 0.773 0.750
Pr 0.334 0.347 0.226
Pr 0.347 0.334 0.726
Pr 0.415 0.918 0.526
Pr 0.415 0.921 0.029
Pr 0.585 0.079 0.971
Pr 0.585 0.082 0.474
Pr 0.653 0.666 0.274
Pr 0.666 0.653 0.774
Pr 0.773 0.227 0.250
Pr 0.918 0.415 0.026
Pr 0.921 0.415 0.529
Sm 0.000 0.000 0.000
Sm 0.000 0.000 0.500
Dy 0.166 0.174 0.275
Dy 0.174 0.166 0.775
Dy 0.500 0.500 0.000
Dy 0.500 0.500 0.500
Dy 0.826 0.834 0.225
Dy 0.834 0.826 0.725

Output
The density is 6.70 Mg/m³. The value obtained for the total magnetic moment is 0.0 μB per formula unit. The energy relative to the lowest polymorph listed for this composition comes out at 0 meV/atom. The calculated formation energy comes out at 0.178 eV/atom. As for the space-group type: C2/c, No. 15.


(2)
## PrSm6Dy (PBE)

Data for PrSm6Dy after structural relaxation.

Unit cell a=9.346 b=7.116 c=9.191 alpha=90.00 beta=104.69 gamma=90.00
Fractional coordinates of all 16 atoms:
Pr 0.000 0.000 0.000
Pr 0.500 0.500 0.000
Sm 0.127 0.000 0.422
Sm 0.211 0.240 0.796
Sm 0.211 0.760 0.796
Sm 0.289 0.260 0.204
Sm 0.289 0.740 0.204
Sm 0.373 0.500 0.578
Sm 0.627 0.500 0.422
Sm 0.711 0.260 0.796
Sm 0.711 0.740 0.796
Sm 0.789 0.240 0.204
Sm 0.789 0.760 0.204
Sm 0.873 0.000 0.578
Dy 0.000 0.500 0.500
Dy 0.500 0.000 0.500

Output
The density is 6.77 Mg/m³. The value obtained for the total magnetic moment is 0.0 μB per formula unit. The energy relative to the lowest polymorph listed for this composition comes out at 352 meV/atom. The calculated formation energy comes out at 0.371 eV/atom. As for the space-group type: C2/m, No. 12.


(3)
## Pr4SmDy4 (PBE)

Data for Pr4SmDy4 after structural relaxation.

Unit cell a=3.637 b=6.247 c=14.075 alpha=89.96 beta=82.62 gamma=73.11
Fractional coordinates of all 9 atoms:
Pr 0.001 0.336 0.164
Pr 0.333 0.448 0.387
Pr 0.667 0.552 0.613
Pr 0.999 0.664 0.836
Sm 0.000 0.000 0.500
Dy 0.331 0.782 0.056
Dy 0.333 0.108 0.725
Dy 0.667 0.892 0.275
Dy 0.669 0.218 0.944

Output
The density is 7.47 Mg/m³. The value obtained for the total magnetic moment is 0.0 μB per formula unit. The energy relative to the lowest polymorph listed for this composition comes out at 0 meV/atom. The calculated formation energy comes out at 0.016 eV/atom. As for the space-group type: P-1, No. 2.


(4)
## Pr2Sm7Dy2 (PBE)

Data for Pr2Sm7Dy2 after structural relaxation.

Unit cell a=8.644 b=8.644 c=15.813 alpha=110.18 beta=110.18 gamma=43.21
Fractional coordinates of all 22 atoms:
Pr 0.030 0.698 0.523
Pr 0.302 0.970 0.977
Pr 0.698 0.030 0.023
Pr 0.970 0.302 0.477
Sm 0.120 0.786 0.340
Sm 0.152 0.484 0.115
Sm 0.214 0.880 0.160
Sm 0.242 0.573 0.930
Sm 0.333 0.667 0.750
Sm 0.427 0.758 0.570
Sm 0.484 0.152 0.615
Sm 0.516 0.848 0.385
Sm 0.573 0.242 0.430
Sm 0.667 0.333 0.250
Sm 0.758 0.427 0.070
Sm 0.786 0.120 0.840
Sm 0.848 0.516 0.885
Sm 0.880 0.214 0.660
Dy 0.062 0.393 0.294
Dy 0.393 0.062 0.794
Dy 0.607 0.938 0.206
Dy 0.938 0.607 0.706

Output
The density is 7.34 Mg/m³. The value obtained for the total magnetic moment is 0.0 μB per formula unit. The energy relative to the lowest polymorph listed for this composition comes out at 0 meV/atom. The calculated formation energy comes out at 0.029 eV/atom. As for the space-group type: C2/c, No. 15.


(5)
## Pr2Sm6Dy (PBE)

Data for Pr2Sm6Dy after structural relaxation.

Unit cell a=9.956 b=9.956 c=3.554 alpha=90.00 beta=90.00 gamma=120.19
Fractional coordinates of all 9 atoms:
Pr 0.167 0.833 0.000
Pr 0.833 0.167 0.000
Sm 0.169 0.169 0.500
Sm 0.169 0.499 0.500
Sm 0.499 0.169 0.500
Sm 0.501 0.831 0.500
Sm 0.831 0.501 0.500
Sm 0.831 0.831 0.500
Dy 0.500 0.500 0.000

Output
The density is 7.34 Mg/m³. The value obtained for the total magnetic moment is 0.0 μB per formula unit. The energy relative to the lowest polymorph listed for this composition comes out at 0 meV/atom. The calculated formation energy comes out at 0.056 eV/atom. As for the space-group type: Cmmm, No. 65.


(6)
## PrSm2Dy (PBE)

Data for PrSm2Dy after structural relaxation.

Unit cell a=3.640 b=3.640 c=35.405 alpha=90.00 beta=90.00 gamma=120.00
Fractional coordinates of all 12 atoms:
Pr 0.000 0.000 0.000
Pr 0.333 0.667 0.667
Pr 0.667 0.333 0.333
Sm 0.000 0.000 0.248
Sm 0.000 0.000 0.419
Sm 0.333 0.667 0.085
Sm 0.333 0.667 0.915
Sm 0.667 0.333 0.581
Sm 0.667 0.333 0.752
Dy 0.000 0.000 0.833
Dy 0.333 0.667 0.500
Dy 0.667 0.333 0.167

Output
The density is 7.41 Mg/m³. The value obtained for the total magnetic moment is 0.0 μB per formula unit. The energy relative to the lowest polymorph listed for this composition comes out at 2 meV/atom. The calculated formation energy comes out at 0.018 eV/atom. As for the space-group type: R3m, No. 160.